Computed, not measured: a relaxed structure of Ce3Ho5Bi8 at the PBE-GGA level of DFT.

Cell lengths 9.035, 9.035, 9.023 Å; angles 59.96, 59.96, 60.00 degrees
Each line ends with the local moment (μB).
Atoms (fractional coordinates):
Bi: 0.745 0.250 0.755  -0.02
Ho: 0.500 0.500 0.000  -0.01
Bi: 0.253 0.253 0.242  -0.03
Bi: 0.250 0.250 0.755  -0.02
Ce: 0.000 0.000 0.500  0.80
Bi: 0.255 0.750 0.245  -0.02
Bi: 0.750 0.255 0.245  -0.02
Bi: 0.250 0.745 0.755  -0.02
Ho: 0.500 0.000 0.000  -0.01
Ce: 0.000 0.500 0.500  0.80
Bi: 0.747 0.747 0.758  -0.03
Ce: 0.500 0.000 0.500  0.80
Ho: 0.000 0.000 0.000  0.00
Bi: 0.750 0.750 0.245  -0.02
Ho: 0.000 0.500 0.000  -0.01
Ho: 0.500 0.500 0.500  0.00

Results
* symmetry: No. 166
* formation enthalpy at 0 K: -0.819 eV/atom